No. 1
# LiLa2IrN | Alexandria via LeMat-Bulk | GGA-PBE | optimized geometry
data_LiLa2IrN
_space_group_name_H-M_alt 'P 4/m m m'
_space_group_IT_number 123
_space_group_name_Hall '-P 4 2'
_cell_length_a 5.303
_cell_length_b 5.303
_cell_length_c 3.876
_cell_angle_alpha 90.00
_cell_angle_beta 90.00
_cell_angle_gamma 90.00
loop_
_atom_site_label
_atom_site_type_symbol
_atom_site_fract_x
_atom_site_fract_y
_atom_site_fract_z
Li1 Li 0.000 0.000 0.000
La1 La 0.000 0.500 0.500
Ir1 Ir 0.500 0.500 0.000
N1 N 0.500 0.500 0.500
# Formation energy from raw total energies = -0.5534 eV/atom
# Crystal system = tetragonal
# E above lowest polymorph = 0.95 eV/f.u.

=====

No. 2
# K2CoPt2 | Alexandria via LeMat-Bulk | GGA-PBE | optimized geometry
data_K2CoPt2
_space_group_name_H-M_alt 'P 4/m b m'
_space_group_IT_number 127
_space_group_name_Hall '-P 4 2ab'
_cell_length_a 6.430
_cell_length_b 6.430
_cell_length_c 5.461
_cell_angle_alpha 90.00
_cell_angle_beta 90.00
_cell_angle_gamma 90.00
loop_
_atom_site_label
_atom_site_type_symbol
_atom_site_fract_x
_atom_site_fract_y
_atom_site_fract_z
K1 K 0.177 0.323 0.000
Co1 Co 0.000 0.000 0.500
Pt1 Pt 0.142 0.642 0.500
# Crystal system = tetragonal
# E above lowest polymorph = 0.00 eV/f.u.
# Formation enthalpy at 0 K = 0.872 eV/f.u.

=====

No. 3
# La6In2FeTc | Alexandria via LeMat-Bulk | GGA-PBE | optimized geometry
data_La6In2FeTc
_space_group_name_H-M_alt 'P 1'
_space_group_IT_number 1
_cell_length_a 7.573
_cell_length_b 7.581
_cell_length_c 7.625
_cell_angle_alpha 119.73
_cell_angle_beta 90.05
_cell_angle_gamma 119.85
loop_
_space_group_symop_operation_xyz
'x,y,z'
loop_
_atom_site_label
_atom_site_type_symbol
_atom_site_fract_x
_atom_site_fract_y
_atom_site_fract_z
La1 La 0.000 0.000 0.000
La2 La 0.000 0.005 0.495
La3 La 0.487 0.000 0.999
La4 La 0.493 0.004 0.493
La5 La 0.493 0.498 0.492
La6 La 0.999 0.513 0.999
In1 In 0.491 0.496 0.983
In2 In 0.990 0.494 0.482
Fe1 Fe 0.227 0.971 0.194
Tc1 Tc 0.731 0.978 0.704
# Crystal system = triclinic
# Formation enthalpy at 0 K = -1.918 eV/f.u.

=====

No. 4
# Be2AgN | Alexandria via LeMat-Bulk | GGA-PBE | optimized geometry
data_Be2AgN
_space_group_name_H-M_alt 'I -4 2 d'
_space_group_IT_number 122
_space_group_name_Hall 'I -4 2bw'
_cell_length_a 5.075
_cell_length_b 5.075
_cell_length_c 7.308
_cell_angle_alpha 90.00
_cell_angle_beta 90.00
_cell_angle_gamma 90.00
loop_
_atom_site_label
_atom_site_type_symbol
_atom_site_fract_x
_atom_site_fract_y
_atom_site_fract_z
Be1 Be 0.090 0.250 0.125
Ag1 Ag 0.000 0.000 0.500
N1 N 0.000 0.000 0.000
# Formation energy from raw total energies = -0.2592 eV/atom
# Crystal system = tetragonal

=====

No. 5
# Pm3MgPb4 | Alexandria via LeMat-Bulk | GGA-PBE | optimized geometry
data_Pm3MgPb4
_space_group_name_H-M_alt 'R -3 m'
_space_group_IT_number 166
_space_group_name_Hall '-R 3 2"'
_cell_length_a 5.2340
_cell_length_b 5.2340
_cell_length_c 29.9842
_cell_angle_alpha 90.00
_cell_angle_beta 90.00
_cell_angle_gamma 120.00
loop_
_atom_site_label
_atom_site_type_symbol
_atom_site_fract_x
_atom_site_fract_y
_atom_site_fract_z
Pm1 Pm 0.0000 0.0000 0.0000
Pm2 Pm 0.0000 0.0000 0.2420
Mg1 Mg 0.0000 0.0000 0.5000
Pb1 Pb 0.0000 0.0000 0.1254
Pb2 Pb 0.0000 0.0000 0.3753
# Crystal system = trigonal
# Formation enthalpy at 0 K = -3.005 eV/f.u.

=====

No. 6
# Pr2DyThBi4 | Alexandria via LeMat-Bulk | GGA-PBE | optimized geometry
data_Pr2DyThBi4
_space_group_name_H-M_alt 'P 1 2/m 1'
_space_group_IT_number 10
_cell_length_a 7.933
_cell_length_b 4.598
_cell_length_c 7.962
_cell_angle_alpha 90.00
_cell_angle_beta 109.48
_cell_angle_gamma 90.00
loop_
_space_group_symop_operation_xyz
'x,y,z'
'-x,-y,-z'
'-x,y,-z'
'x,-y,z'
loop_
_atom_site_label
_atom_site_type_symbol
_atom_site_fract_x
_atom_site_fract_y
_atom_site_fract_z
Pr1 Pr 0.000 0.000 0.000
Pr2 Pr 0.500 0.500 0.000
Dy1 Dy 0.000 0.500 0.500
Th1 Th 0.500 0.000 0.500
Bi1 Bi 0.244 0.000 0.741
Bi2 Bi 0.248 0.500 0.255
# Crystal system = monoclinic
# Formation enthalpy at 0 K = -6.797 eV/f.u.

=====

No. 7
# AcGa2AgAu2 | Alexandria via LeMat-Bulk | GGA-PBE | optimized geometry
data_AcGa2AgAu2
_space_group_name_H-M_alt 'P -3 m 1'
_space_group_IT_number 164
_space_group_name_Hall '-P 3 2"'
_cell_length_a 4.5649
_cell_length_b 4.5649
_cell_length_c 7.2933
_cell_angle_alpha 90.00
_cell_angle_beta 90.00
_cell_angle_gamma 120.00
loop_
_atom_site_label
_atom_site_type_symbol
_atom_site_fract_x
_atom_site_fract_y
_atom_site_fract_z
Ac1 Ac 0.0000 0.0000 0.0000
Ga1 Ga 0.3333 0.6667 0.3178
Ag1 Ag 0.0000 0.0000 0.5000
Au1 Au 0.3333 0.6667 0.7093
# Crystal system = trigonal
# Formation enthalpy at 0 K = -3.024 eV/f.u.

=====

No. 8
# PH2Pd11 | Alexandria via LeMat-Bulk | GGA-PBE | optimized geometry
data_PH2Pd11
_space_group_name_H-M_alt 'C m m m'
_space_group_IT_number 65
_space_group_name_Hall '-C 2 2'
_cell_length_a 7.722
_cell_length_b 7.848
_cell_length_c 6.800
_cell_angle_alpha 90.00
_cell_angle_beta 90.00
_cell_angle_gamma 90.00
loop_
_atom_site_label
_atom_site_type_symbol
_atom_site_fract_x
_atom_site_fract_y
_atom_site_fract_z
P1 P 0.000 0.000 0.000
H1 H 0.000 0.255 0.500
Pd1 Pd 0.000 0.250 0.200
Pd2 Pd 0.000 0.500 0.500
Pd3 Pd 0.249 0.500 0.199
Pd4 Pd 0.250 0.250 0.500
# DFT total energy = -5.0015 eV per atom
# Crystal system = orthorhombic

=====

No. 9
# Ga3Tc | Alexandria via LeMat-Bulk | GGA-PBE | optimized geometry
data_Ga3Tc
_space_group_name_H-M_alt 'I m m 2'
_space_group_IT_number 44
_cell_length_a 3.217
_cell_length_b 8.540
_cell_length_c 4.490
_cell_angle_alpha 90.00
_cell_angle_beta 90.00
_cell_angle_gamma 90.00
loop_
_space_group_symop_operation_xyz
'x,y,z'
'-x,-y,z'
'-x,y,z'
'x,-y,z'
'x+1/2,y+1/2,z+1/2'
'-x+1/2,-y+1/2,z+1/2'
'-x+1/2,y+1/2,z+1/2'
'x+1/2,-y+1/2,z+1/2'
loop_
_atom_site_label
_atom_site_type_symbol
_atom_site_fract_x
_atom_site_fract_y
_atom_site_fract_z
Ga1 Ga 0.000 0.000 0.000
Ga2 Ga 0.000 0.237 0.615
Tc1 Tc 0.000 0.500 0.966
# Crystal system = orthorhombic
# E above lowest polymorph = 0.42 eV/f.u.
# Formation enthalpy at 0 K = -0.391 eV/f.u.

=====

No. 10
# La2SbRh | Alexandria via LeMat-Bulk | GGA-PBE | optimized geometry
data_La2SbRh
_space_group_name_H-M_alt 'F -4 3 m'
_space_group_IT_number 216
_space_group_name_Hall 'F -4 2 3'
_cell_length_a 7.329
_cell_length_b 7.329
_cell_length_c 7.329
_cell_angle_alpha 90.00
_cell_angle_beta 90.00
_cell_angle_gamma 90.00
loop_
_atom_site_label
_atom_site_type_symbol
_atom_site_fract_x
_atom_site_fract_y
_atom_site_fract_z
La1 La 0.000 0.000 0.000
La2 La 0.250 0.250 0.250
Sb1 Sb 0.250 0.250 0.750
Rh1 Rh 0.000 0.000 0.500
# Formation energy from raw total energies = -0.4246 eV/atom
# Crystal system = cubic

=====

No. 11
# BaPm4Tl5 | Alexandria via LeMat-Bulk | GGA-PBE | optimized geometry
data_BaPm4Tl5
_space_group_name_H-M_alt 'P 4/m m m'
_space_group_IT_number 123
_space_group_name_Hall '-P 4 2'
_cell_length_a 3.941
_cell_length_b 3.941
_cell_length_c 19.975
_cell_angle_alpha 90.00
_cell_angle_beta 90.00
_cell_angle_gamma 90.00
loop_
_atom_site_label
_atom_site_type_symbol
_atom_site_fract_x
_atom_site_fract_y
_atom_site_fract_z
Ba1 Ba 0.000 0.000 0.000
Pm1 Pm 0.000 0.000 0.213
Pm2 Pm 0.000 0.000 0.405
Tl1 Tl 0.500 0.500 0.122
Tl2 Tl 0.500 0.500 0.311
Tl3 Tl 0.500 0.500 0.500
# Crystal system = tetragonal
# Formation enthalpy at 0 K = -3.813 eV/f.u.

=====

No. 12
# H2SeS | Alexandria via LeMat-Bulk | GGA-PBE | optimized geometry
data_H2SeS
_space_group_name_H-M_alt 'F m -3 m'
_space_group_IT_number 225
_space_group_name_Hall '-F 4 2 3'
_cell_length_a 5.458
_cell_length_b 5.458
_cell_length_c 5.458
_cell_angle_alpha 90.00
_cell_angle_beta 90.00
_cell_angle_gamma 90.00
loop_
_atom_site_label
_atom_site_type_symbol
_atom_site_fract_x
_atom_site_fract_y
_atom_site_fract_z
H1 H 0.250 0.250 0.250
Se1 Se 0.000 0.000 0.000
S1 S 0.000 0.000 0.500
# Crystal system = cubic
# E above lowest polymorph = 4.54 eV/f.u.

=====

In Mg/m³, the density values for the records above are, in order, 7.48; 7.75; 6.49; 4.94; 9.02; 9.17; 10.95; 9.70; 8.27; 8.48; 9.31; 4.62.